(1)
The following is a DFT calculation (PBE-GGA) of an optimized crystal structure of SrCeBiSb.

```
data_SrCeBiSb
_cell_length_a 8.005
_cell_length_b 8.005
_cell_length_c 8.005
_cell_angle_alpha 90.00
_cell_angle_beta 90.00
_cell_angle_gamma 90.00
_symmetry_space_group_name_H-M 'F -4 3 m'
_symmetry_Int_Tables_number 216
_symmetry_space_group_name_Hall 'F -4 2 3'
loop_
_atom_site_label
_atom_site_type_symbol
_atom_site_fract_x
_atom_site_fract_y
_atom_site_fract_z
_atom_site_occupancy
Sr1 Sr 0.000 0.000 0.000 1
Ce1 Ce 0.000 0.000 0.500 1
Bi1 Bi 0.250 0.250 0.750 1
Sb1 Sb 0.250 0.250 0.250 1
```

E_form (uncorrected) in eV per atom: -0.720

(2)
The following is a DFT calculation (PBE-GGA) of an optimized crystal structure of Ce4Bi2SbTe.

```
data_Ce4Bi2SbTe
_cell_length_a 7.864
_cell_length_b 4.572
_cell_length_c 7.887
_cell_angle_alpha 90.00
_cell_angle_beta 109.74
_cell_angle_gamma 90.00
_symmetry_space_group_name_H-M 'P 1 2/m 1'
_symmetry_Int_Tables_number 10
_symmetry_space_group_name_Hall '-P 2y'
loop_
_atom_site_label
_atom_site_type_symbol
_atom_site_fract_x
_atom_site_fract_y
_atom_site_fract_z
_atom_site_occupancy
Ce1 Ce 0.246 0.000 0.245 1
Ce2 Ce 0.249 0.500 0.754 1
Bi1 Bi 0.000 0.000 0.500 1
Bi2 Bi 0.500 0.500 0.500 1
Sb1 Sb 0.000 0.500 0.000 1
Te1 Te 0.500 0.000 0.000 1
```

E_form (uncorrected) in eV per atom: -1.005

(3)
The following is a DFT calculation (PBE-GGA) of an optimized crystal structure of Ce4BiSbTe2.

```
data_Ce4BiSbTe2
_cell_length_a 7.777
_cell_length_b 4.554
_cell_length_c 7.887
_cell_angle_alpha 90.00
_cell_angle_beta 109.75
_cell_angle_gamma 90.00
_symmetry_space_group_name_H-M 'P 1 2/m 1'
_symmetry_Int_Tables_number 10
_symmetry_space_group_name_Hall '-P 2y'
loop_
_atom_site_label
_atom_site_type_symbol
_atom_site_fract_x
_atom_site_fract_y
_atom_site_fract_z
_atom_site_occupancy
Ce1 Ce 0.248 0.000 0.246 1
Ce2 Ce 0.251 0.500 0.754 1
Bi1 Bi 0.000 0.000 0.500 1
Sb1 Sb 0.000 0.500 0.000 1
Te1 Te 0.500 0.000 0.000 1
Te2 Te 0.500 0.500 0.500 1
```

E_form (uncorrected) in eV per atom: -1.152

(4)
The following is a DFT calculation (PBE-GGA) of an optimized crystal structure of Ce6BiSb2Te3.

```
data_Ce6BiSb2Te3
_cell_length_a 19.650
_cell_length_b 4.542
_cell_length_c 8.999
_cell_angle_alpha 90.00
_cell_angle_beta 102.53
_cell_angle_gamma 90.00
_symmetry_space_group_name_H-M 'C 1 2/m 1'
_symmetry_Int_Tables_number 12
_symmetry_space_group_name_Hall '-C 2y'
loop_
_atom_site_label
_atom_site_type_symbol
_atom_site_fract_x
_atom_site_fract_y
_atom_site_fract_z
_atom_site_occupancy
Ce1 Ce 0.002 0.000 0.254 1
Ce2 Ce 0.168 0.500 0.087 1
Ce3 Ce 0.168 0.500 0.581 1
Bi1 Bi 0.000 0.500 0.000 1
Sb1 Sb 0.167 0.000 0.333 1
Te1 Te 0.000 0.500 0.500 1
Te2 Te 0.166 0.000 0.833 1
```

E_form (uncorrected) in eV per atom: -1.175

(5)
The following is a DFT calculation (PBE-GGA) of an optimized crystal structure of Ce4BiSb2Te.

```
data_Ce4BiSb2Te
_cell_length_a 7.840
_cell_length_b 4.518
_cell_length_c 7.861
_cell_angle_alpha 90.00
_cell_angle_beta 109.29
_cell_angle_gamma 90.00
_symmetry_space_group_name_H-M 'P 1 2/m 1'
_symmetry_Int_Tables_number 10
_symmetry_space_group_name_Hall '-P 2y'
loop_
_atom_site_label
_atom_site_type_symbol
_atom_site_fract_x
_atom_site_fract_y
_atom_site_fract_z
_atom_site_occupancy
Ce1 Ce 0.244 0.000 0.247 1
Ce2 Ce 0.244 0.500 0.749 1
Bi1 Bi 0.500 0.500 0.500 1
Sb1 Sb 0.000 0.000 0.500 1
Sb2 Sb 0.000 0.500 0.000 1
Te1 Te 0.500 0.000 0.000 1
```

E_form (uncorrected) in eV per atom: -1.072

(6)
The following is a DFT calculation (PBE-GGA) of an optimized crystal structure of Ce5BiSb2Te.

```
data_Ce5BiSb2Te
_cell_length_a 8.351
_cell_length_b 8.351
_cell_length_c 16.428
_cell_angle_alpha 90.00
_cell_angle_beta 90.00
_cell_angle_gamma 90.00
_symmetry_space_group_name_H-M 'I 4/m c m'
_symmetry_Int_Tables_number 140
_symmetry_space_group_name_Hall '-I 4 2c'
loop_
_atom_site_label
_atom_site_type_symbol
_atom_site_fract_x
_atom_site_fract_y
_atom_site_fract_z
_atom_site_occupancy
Ce1 Ce 0.000 0.000 0.000 1
Ce2 Ce 0.190 0.310 0.130 1
Bi1 Bi 0.000 0.000 0.250 1
Sb1 Sb 0.125 0.375 0.500 1
Te1 Te 0.000 0.500 0.250 1
```

E_form (uncorrected) in eV per atom: -0.720

(7)
The following is a DFT calculation (PBE-GGA) of an optimized crystal structure of Ce2ThBiSb2.

```
data_Ce2ThBiSb2
_cell_length_a 4.5238
_cell_length_b 4.5238
_cell_length_c 11.1692
_cell_angle_alpha 90.00
_cell_angle_beta 90.00
_cell_angle_gamma 120.00
_symmetry_space_group_name_H-M 'P -3 m 1'
_symmetry_Int_Tables_number 164
_symmetry_space_group_name_Hall '-P 3 2"'
loop_
_atom_site_label
_atom_site_type_symbol
_atom_site_fract_x
_atom_site_fract_y
_atom_site_fract_z
_atom_site_occupancy
Ce1 Ce 0.3333 0.6667 0.1724 1
Th1 Th 0.0000 0.0000 0.5000 1
Bi1 Bi 0.0000 0.0000 0.0000 1
Sb1 Sb 0.3333 0.6667 0.6651 1
```

E_form (uncorrected) in eV per atom: -0.924

(8)
The following is a DFT calculation (PBE-GGA) of an optimized crystal structure of CeTmBiSb.

```
data_CeTmBiSb
_cell_length_a 4.4707
_cell_length_b 4.4707
_cell_length_c 21.8556
_cell_angle_alpha 90.00
_cell_angle_beta 90.00
_cell_angle_gamma 120.00
_symmetry_space_group_name_H-M 'R 3 m'
_symmetry_Int_Tables_number 160
_symmetry_space_group_name_Hall 'R 3 -2"'
loop_
_atom_site_label
_atom_site_type_symbol
_atom_site_fract_x
_atom_site_fract_y
_atom_site_fract_z
_atom_site_occupancy
Ce1 Ce 0.0000 0.0000 0.0000 1
Tm1 Tm 0.0000 0.0000 0.4957 1
Bi1 Bi 0.0000 0.0000 0.2447 1
Sb1 Sb 0.0000 0.0000 0.7515 1
```

E_form (uncorrected) in eV per atom: -0.920

(9)
The following is a DFT calculation (PBE-GGA) of an optimized crystal structure of CeYBiSb.

```
data_CeYBiSb
_cell_length_a 4.4937
_cell_length_b 4.4937
_cell_length_c 22.0131
_cell_angle_alpha 90.00
_cell_angle_beta 90.00
_cell_angle_gamma 120.00
_symmetry_space_group_name_H-M 'R 3 m'
_symmetry_Int_Tables_number 160
_symmetry_space_group_name_Hall 'R 3 -2"'
loop_
_atom_site_label
_atom_site_type_symbol
_atom_site_fract_x
_atom_site_fract_y
_atom_site_fract_z
_atom_site_occupancy
Ce1 Ce 0.0000 0.0000 0.0000 1
Y1 Y 0.0000 0.0000 0.4958 1
Bi1 Bi 0.0000 0.0000 0.2460 1
Sb1 Sb 0.0000 0.0000 0.7500 1
```

E_form (uncorrected) in eV per atom: -0.977

(10)
The following is a DFT calculation (PBE-GGA) of an optimized crystal structure of CeSc2Bi.

```
data_CeSc2Bi
_cell_length_a 3.2880
_cell_length_b 3.2880
_cell_length_c 33.8583
_cell_angle_alpha 90.00
_cell_angle_beta 90.00
_cell_angle_gamma 120.00
_symmetry_space_group_name_H-M 'R -3 m'
_symmetry_Int_Tables_number 166
_symmetry_space_group_name_Hall '-R 3 2"'
loop_
_atom_site_label
_atom_site_type_symbol
_atom_site_fract_x
_atom_site_fract_y
_atom_site_fract_z
_atom_site_occupancy
Ce1 Ce 0.0000 0.0000 0.0000 1
Sc1 Sc 0.0000 0.0000 0.0907 1
Bi1 Bi 0.0000 0.0000 0.5000 1
```

Formation energy from the elements in eV per atom: 0.092
Polymorph energy (0 for the lowest one) in eV/f.u.: 1.63

(11)
The following is a DFT calculation (PBE-GGA) of an optimized crystal structure of Ce5Sc3Bi8.

```
data_Ce5Sc3Bi8
_cell_length_a 8.9664
_cell_length_b 8.9664
_cell_length_c 21.9026
_cell_angle_alpha 90.00
_cell_angle_beta 90.00
_cell_angle_gamma 120.00
_symmetry_space_group_name_H-M 'R -3 m'
_symmetry_Int_Tables_number 166
_symmetry_space_group_name_Hall '-R 3 2"'
loop_
_atom_site_label
_atom_site_type_symbol
_atom_site_fract_x
_atom_site_fract_y
_atom_site_fract_z
_atom_site_occupancy
Ce1 Ce 0.0000 0.0000 0.0000 1
Ce2 Ce 0.0000 0.0000 0.5000 1
Ce3 Ce 0.0000 0.5000 0.0000 1
Sc1 Sc 0.0000 0.5000 0.5000 1
Bi1 Bi 0.0000 0.0000 0.2430 1
Bi2 Bi 0.0098 0.5049 0.7549 1
```

Formation energy from the elements in eV per atom: -0.723

(12)
The following is a DFT calculation (PBE-GGA) of an optimized crystal structure of Ce5ScBi6.

```
data_Ce5ScBi6
_cell_length_a 7.872
_cell_length_b 13.609
_cell_length_c 7.901
_cell_angle_alpha 90.00
_cell_angle_beta 109.41
_cell_angle_gamma 90.00
_symmetry_space_group_name_H-M 'C 1 2/m 1'
_symmetry_Int_Tables_number 12
_symmetry_space_group_name_Hall '-C 2y'
loop_
_atom_site_label
_atom_site_type_symbol
_atom_site_fract_x
_atom_site_fract_y
_atom_site_fract_z
_atom_site_occupancy
Ce1 Ce 0.000 0.000 0.000 1
Ce2 Ce 0.000 0.165 0.500 1
Ce3 Ce 0.000 0.328 0.000 1
Sc1 Sc 0.000 0.500 0.500 1
Bi1 Bi 0.239 0.500 0.253 1
Bi2 Bi 0.240 0.339 0.740 1
```

Formation energy from the elements in eV per atom: -0.747

(13)
The following is a DFT calculation (PBE-GGA) of an optimized crystal structure of Ce5Sc2Bi5.

```
data_Ce5Sc2Bi5
_cell_length_a 15.259
_cell_length_b 4.488
_cell_length_c 12.151
_cell_angle_alpha 90.00
_cell_angle_beta 116.97
_cell_angle_gamma 90.00
_symmetry_space_group_name_H-M 'C 1 2/m 1'
_symmetry_Int_Tables_number 12
_symmetry_space_group_name_Hall '-C 2y'
loop_
_atom_site_label
_atom_site_type_symbol
_atom_site_fract_x
_atom_site_fract_y
_atom_site_fract_z
_atom_site_occupancy
Ce1 Ce 0.000 0.000 0.000 1
Ce2 Ce 0.167 0.000 0.540 1
Ce3 Ce 0.178 0.000 0.778 1
Sc1 Sc 0.056 0.500 0.292 1
Bi1 Bi 0.000 0.500 0.500 1
Bi2 Bi 0.127 0.500 0.938 1
Bi3 Bi 0.182 0.000 0.278 1
```

Formation energy from the elements in eV per atom: -0.549

(14)
The following is a DFT calculation (PBE-GGA) of an optimized crystal structure of CeSc2Bi3.

```
data_CeSc2Bi3
_cell_length_a 4.376
_cell_length_b 6.250
_cell_length_c 13.076
_cell_angle_alpha 90.00
_cell_angle_beta 90.00
_cell_angle_gamma 90.00
_symmetry_space_group_name_H-M 'I m m m'
_symmetry_Int_Tables_number 71
_symmetry_space_group_name_Hall '-I 2 2'
loop_
_atom_site_label
_atom_site_type_symbol
_atom_site_fract_x
_atom_site_fract_y
_atom_site_fract_z
_atom_site_occupancy
Ce1 Ce 0.000 0.000 0.000 1
Sc1 Sc 0.000 0.000 0.338 1
Bi1 Bi 0.000 0.500 0.000 1
Bi2 Bi 0.000 0.500 0.322 1
```

Formation energy from the elements in eV per atom: -0.680

(15)
The following is a DFT calculation (PBE-GGA) of an optimized crystal structure of Ce5ScBi3.

```
data_Ce5ScBi3
_cell_length_a 9.6685
_cell_length_b 9.6685
_cell_length_c 6.5637
_cell_angle_alpha 90.00
_cell_angle_beta 90.00
_cell_angle_gamma 120.00
_symmetry_space_group_name_H-M 'P 63/m c m'
_symmetry_Int_Tables_number 193
_symmetry_space_group_name_Hall '-P 6c 2'
loop_
_atom_site_label
_atom_site_type_symbol
_atom_site_fract_x
_atom_site_fract_y
_atom_site_fract_z
_atom_site_occupancy
Ce1 Ce 0.0000 0.3010 0.2500 1
Ce2 Ce 0.3333 0.6667 0.0000 1
Sc1 Sc 0.0000 0.0000 0.0000 1
Bi1 Bi 0.0000 0.3583 0.7500 1
```

Formation energy from the elements in eV per atom: -0.438

(16)
The following is a DFT calculation (PBE-GGA) of an optimized crystal structure of CeSc5Bi6.

```
data_CeSc5Bi6
_cell_length_a 7.488
_cell_length_b 12.979
_cell_length_c 7.502
_cell_angle_alpha 90.00
_cell_angle_beta 109.61
_cell_angle_gamma 90.00
_symmetry_space_group_name_H-M 'C 1 2/m 1'
_symmetry_Int_Tables_number 12
_symmetry_space_group_name_Hall '-C 2y'
loop_
_atom_site_label
_atom_site_type_symbol
_atom_site_fract_x
_atom_site_fract_y
_atom_site_fract_z
_atom_site_occupancy
Ce1 Ce 0.000 0.000 0.000 1
Sc1 Sc 0.000 0.160 0.500 1
Sc2 Sc 0.000 0.331 0.000 1
Sc3 Sc 0.000 0.500 0.500 1
Bi1 Bi 0.238 0.500 0.252 1
Bi2 Bi 0.241 0.327 0.741 1
```

Formation energy from the elements in eV per atom: -0.673

(17)
The following is a DFT calculation (PBE-GGA) of an optimized crystal structure of Ce2ScBi3.

```
data_Ce2ScBi3
_cell_length_a 7.776
_cell_length_b 13.495
_cell_length_c 7.786
_cell_angle_alpha 90.00
_cell_angle_beta 109.65
_cell_angle_gamma 90.00
_symmetry_space_group_name_H-M 'C 1 2/m 1'
_symmetry_Int_Tables_number 12
_symmetry_space_group_name_Hall '-C 2y'
loop_
_atom_site_label
_atom_site_type_symbol
_atom_site_fract_x
_atom_site_fract_y
_atom_site_fract_z
_atom_site_occupancy
Ce1 Ce 0.000 0.000 0.000 1
Ce2 Ce 0.000 0.161 0.500 1
Ce3 Ce 0.000 0.500 0.500 1
Sc1 Sc 0.000 0.331 0.000 1
Bi1 Bi 0.231 0.500 0.231 1
Bi2 Bi 0.248 0.328 0.762 1
```

Formation energy from the elements in eV per atom: -0.729
Polymorph energy (0 for the lowest one) in eV/f.u.: 0.00

(18)
The following is a DFT calculation (PBE-GGA) of an optimized crystal structure of CeScBi2.

```
data_CeScBi2
_cell_length_a 4.339
_cell_length_b 24.428
_cell_length_c 4.616
_cell_angle_alpha 90.00
_cell_angle_beta 90.00
_cell_angle_gamma 90.00
_symmetry_space_group_name_H-M 'C m c m'
_symmetry_Int_Tables_number 63
_symmetry_space_group_name_Hall '-C 2c 2'
loop_
_atom_site_label
_atom_site_type_symbol
_atom_site_fract_x
_atom_site_fract_y
_atom_site_fract_z
_atom_site_occupancy
Ce1 Ce 0.000 0.062 0.250 1
Sc1 Sc 0.000 0.313 0.250 1
Bi1 Bi 0.000 0.192 0.250 1
Bi2 Bi 0.000 0.439 0.250 1
```

Formation energy from the elements in eV per atom: -0.630
Polymorph energy (0 for the lowest one) in eV/f.u.: 0.35

(19)
The following is a DFT calculation (PBE-GGA) of an optimized crystal structure of Ce2ScBi.

```
data_Ce2ScBi
_cell_length_a 4.474
_cell_length_b 4.474
_cell_length_c 5.184
_cell_angle_alpha 90.00
_cell_angle_beta 90.00
_cell_angle_gamma 90.00
_symmetry_space_group_name_H-M 'P 4/m m m'
_symmetry_Int_Tables_number 123
_symmetry_space_group_name_Hall '-P 4 2'
loop_
_atom_site_label
_atom_site_type_symbol
_atom_site_fract_x
_atom_site_fract_y
_atom_site_fract_z
_atom_site_occupancy
Ce1 Ce 0.000 0.500 0.000 1
Sc1 Sc 0.000 0.000 0.500 1
Bi1 Bi 0.500 0.500 0.500 1
```

Formation energy from the elements in eV per atom: -0.378
Polymorph energy (0 for the lowest one) in eV/f.u.: 0.00

(20)
The following is a DFT calculation (PBE-GGA) of an optimized crystal structure of CeScBi2.

```
data_CeScBi2
_cell_length_a 4.4145
_cell_length_b 4.4145
_cell_length_c 22.5181
_cell_angle_alpha 90.00
_cell_angle_beta 90.00
_cell_angle_gamma 120.00
_symmetry_space_group_name_H-M 'R 3 m'
_symmetry_Int_Tables_number 160
_symmetry_space_group_name_Hall 'R 3 -2"'
loop_
_atom_site_label
_atom_site_type_symbol
_atom_site_fract_x
_atom_site_fract_y
_atom_site_fract_z
_atom_site_occupancy
Ce1 Ce 0.0000 0.0000 0.0000 1
Sc1 Sc 0.0000 0.0000 0.1710 1
Bi1 Bi 0.0000 0.0000 0.4232 1
Bi2 Bi 0.0000 0.0000 0.5806 1
```

Formation energy from the elements in eV per atom: -0.611
Polymorph energy (0 for the lowest one) in eV/f.u.: 0.43